An optimized crystal structure of ZnRuBr2, computed with PBE.

a b c (Å): 3.3871 6.8757 5.3799
angles (deg): 39.26 90.00 90.00
Last column: nearest neighbours and their distance in Å.
Fractional positions:
Zn: 0.0000 0.0000 0.5000  6 Br 2.69-2.76
Br: 0.5000 0.5000 0.0000  2 Ru 2.69, 4 Zn 2.76
Br: 0.0000 0.0000 0.0000  2 Zn 2.69, 4 Ru 2.76
Ru: 0.5000 0.5000 0.5000  6 Br 2.69-2.76

**Formation energy without anion corrections**: 0.503 eV/atom
**Crystal system**: monoclinic
**E above lowest polymorph**: 53.1 kJ per mole of atoms
**Electronic total energy**: -11.88 eV/f.u.
**Space-group type**: P2/m (10)

=====

An optimized crystal structure of LiNdPuN3, computed with PBE.

a b c (Å): 3.4995 7.1335 6.9723
angles (deg): 104.51 90.00 90.00
Last column: nearest neighbours and their distance in Å.
Fractional positions:
N: 0.2500 0.1172 0.8643  1 Li 1.90
N: 0.7500 0.4206 0.1323  1 Pu 2.06
N: 0.7500 0.2089 0.5309  3 Li 1.98-2.07, 1 Pu 2.03
N: 0.7500 0.8828 0.1357  1 Li 1.90
N: 0.2500 0.5794 0.8677  1 Pu 2.06
N: 0.2500 0.7911 0.4691  3 Li 1.98-2.07, 1 Pu 2.03
Nd: 0.7500 0.8139 0.7775  3 N 2.42-2.60
Nd: 0.2500 0.1861 0.2225  3 N 2.42-2.60
Pu: 0.7500 0.3234 0.8279  2 N 2.03-2.06
Pu: 0.2500 0.6766 0.1721  2 N 2.03-2.06
Li: 0.2500 0.0745 0.5848  4 N 1.90-2.07
Li: 0.7500 0.9255 0.4152  4 N 1.90-2.07

**Formation energy without anion corrections**: -0.977 eV/atom
**Crystal system**: monoclinic
**Electronic total energy**: -51.85 eV/f.u.
**Space-group type**: P2_1/m (11)